(1)
## Ti5In2Tc (PBE-GGA)

Data for a relaxed structure of Ti5In2Tc.

Formation enthalpy at 0 K   -242.3 meV per atom

a = 4.664 Å, b = 4.664 Å, c = 7.238 Å
α = 108.79°, β = 108.79°, γ = 90.00°
Positions (direct):
1 Tc 0.000 0.000 0.000
2 Ti 0.391 0.891 0.782
3 Ti 0.500 0.500 0.000
4 Ti 0.609 0.109 0.218
5 Ti 0.891 0.391 0.782
6 Ti 0.109 0.609 0.218
7 In 0.750 0.750 0.499
8 In 0.250 0.250 0.501



(2)
## TaC3N (PBE-GGA)

Data for a relaxed structure of TaC3N.

Energy relative to the lowest polymorph listed for this composition   0.601 eV/atom
Formation energy from raw total energies   3.03 eV per atom

a = 4.229 Å, b = 4.229 Å, c = 4.229 Å
α = 90.00°, β = 90.00°, γ = 90.00°
Positions (direct):
1 Ta 0.000 0.000 0.000
2 C 0.500 0.000 0.000
3 C 0.000 0.500 0.000
4 C 0.000 0.000 0.500
5 N 0.500 0.500 0.500



(3)
## SiTcOs (PBE-GGA)

Data for a relaxed structure of SiTcOs.

Energy relative to the lowest polymorph listed for this composition   0.197 eV/atom
Formation energy from raw total energies   -0.07 eV per atom

a = 4.519 Å, b = 4.519 Å, c = 4.519 Å
α = 143.76°, β = 129.55°, γ = 63.69°
Positions (direct):
1 Os 0.001 0.001 0.000
2 Tc 0.665 0.665 0.000
3 Si 0.333 0.333 0.000



(4)
## TaMn5 (PBE-GGA)

Data for a relaxed structure of TaMn5.

Formation enthalpy at 0 K   64.8 meV per atom

a = 6.335 Å, b = 6.335 Å, c = 4.050 Å
α = 90.00°, β = 90.00°, γ = 152.54°
Positions (direct):
1 Mn 0.676 0.324 0.500
2 Mn 0.324 0.676 0.500
3 Mn 0.167 0.833 0.000
4 Mn 0.500 0.500 0.000
5 Mn 0.833 0.167 0.000
6 Ta 0.000 0.000 0.500